Material: LaPm2YHo2
Method: DFT, PBE
State: relaxed

Summary:
symmetry = Pnnm (58)
magnetic moment = 0.0 μB/cell
volume = 398.5 Å³ per cell
energy of formation from the pure elements = 0.06 eV/atom
mass density = 7065 kg/m³

a = 5.6877 Å, b = 9.9183 Å, c = 7.0634 Å
α = 90.00°, β = 90.00°, γ = 90.00°
With the nearest neighbours (Å) after each atom.
Sites, in units of the cell vectors:
La (0.0000, 0.0000, 0.0000)  2 Y 3.53, 6 Ho 3.73-3.75, 6 Pm 3.74
La (0.5000, 0.5000, 0.5000)  2 Y 3.53, 6 Ho 3.73-3.75, 6 Pm 3.74
Pm (0.5000, 0.8330, 0.2529)  5 Ho 3.29-3.56
Pm (0.5000, 0.1670, 0.7471)  5 Ho 3.29-3.56
Pm (0.0000, 0.6670, 0.7529)  5 Ho 3.29-3.56
Pm (0.0000, 0.3330, 0.2471)  5 Ho 3.29-3.56
Y (0.5000, 0.5000, 0.0000)  2 La 3.53, 6 Pm 3.73-3.75, 6 Ho 3.73-3.75
Y (0.0000, 0.0000, 0.5000)  2 La 3.53, 6 Pm 3.73-3.75, 6 Ho 3.73-3.75
Ho (0.5000, 0.1664, 0.2507)  5 Pm 3.29-3.56
Ho (0.0000, 0.6664, 0.2493)  5 Pm 3.29-3.56
Ho (0.5000, 0.8336, 0.7493)  5 Pm 3.29-3.56
Ho (0.0000, 0.3336, 0.7507)  5 Pm 3.29-3.56